This record from the Alexandria database describes crystalline SiAgTe2 at its relaxed geometry. The functional is PBE.

The structure in CIF format:
```
data_SiAgTe2
_chemical_formula_sum 'Si2 Ag2 Te4'
_symmetry_space_group_name_H-M 'C 1 2/m 1'
_symmetry_Int_Tables_number 12
_symmetry_space_group_name_Hall '-C 2y'
_cell_length_a 8.128
_cell_length_b 8.136
_cell_length_c 3.067
_cell_angle_alpha 90.00
_cell_angle_beta 90.78
_cell_angle_gamma 90.00
loop_
_atom_site_label
_atom_site_fract_x
_atom_site_fract_y
_atom_site_fract_z
_atom_site_occupancy
Si1 0.000 0.000 0.000 1
Ag1 0.000 0.500 0.000 1
Te1 0.250 0.250 0.000 1
```

Calculated values
Relative energy among the computed polymorphs in eV/f.u.: 0.631
Final energy in Ry/atom: -0.253
Volume in A^3/atom: 25.350
Formation energy from raw total energies in eV per atom: 0.1905